The following is a meta-GGA SCAN calculation of a PBEsol-optimized structure of CuIr2, from the Alexandria database.

Lattice parameters (Å, degrees): 2.6815 2.6815 6.4331 90.00 90.00 120.00
Space group P-3m1 (No. 164)
Symmetry-distinct sites (fractional):
Cu 0.0000 0.0000 0.0000 x1
Ir 0.3333 0.6667 0.6697 x2

Properties
Offset from the most stable computed form (meV per atom): 0
Raw total energy (eV for the cell shown): -157.23
Energy of formation from the pure elements (kcal/mol of atoms): 1.308
Density of states at the Fermi level (states/eV/atom): 0.762